No. 1
Computed, not measured: Sr2AlCd3Au4 after structural relaxation at the PBE level of DFT.

Properties
E, eV per atom: -2.76
Density of states at the Fermi level, states/eV per cell: 3.21
Formation energy, meV/atom: -463

Cell: 4.862 4.862 10.584 Å, 90.00 90.00 90.00°
Fractional coordinates of all 10 atoms:
Sr 0.000 0.500 0.240
Sr 0.500 0.000 0.760
Al 0.000 0.000 0.500
Cd 0.000 0.500 0.869
Cd 0.500 0.000 0.131
Cd 0.500 0.500 0.500
Au 0.000 0.000 0.000
Au 0.000 0.500 0.612
Au 0.500 0.000 0.388
Au 0.500 0.500 0.000

---

No. 2
Computed, not measured: Sr2Al3CdAu12 after structural relaxation at the PBE level of DFT.

Properties
E, eV per atom: -3.22
Density of states at the Fermi level, states/eV per cell: 5.94
Formation energy, meV/atom: -178

Cell: 8.315 8.315 8.315 Å, 63.60 63.60 63.60°
Fractional coordinates of all 18 atoms:
Sr 0.108 0.108 0.108
Sr 0.892 0.892 0.892
Al 0.000 0.500 0.500
Al 0.500 0.000 0.500
Al 0.500 0.500 0.000
Cd 0.500 0.500 0.500
Au 0.116 0.632 0.632
Au 0.149 0.149 0.614
Au 0.149 0.614 0.149
Au 0.368 0.368 0.884
Au 0.368 0.884 0.368
Au 0.386 0.851 0.851
Au 0.614 0.149 0.149
Au 0.632 0.116 0.632
Au 0.632 0.632 0.116
Au 0.851 0.386 0.851
Au 0.851 0.851 0.386
Au 0.884 0.368 0.368

---

Here are the calculated spin magnetization numbers, same order: 0.00, 0.00 (μB/cell).